# YCSeBr2, optimized geometry, DFT GGA-PBEsol
# calculated volume	97	Å³/f.u.
# raw formation energy	0.185	eV/atom
# E_tot	-4.6266	eV per atom
data_YCSeBr2
_space_group_name_H-M_alt 'P 1'
_space_group_IT_number 1
_cell_length_a 4.620
_cell_length_b 4.620
_cell_length_c 4.536
_cell_angle_alpha 90.00
_cell_angle_beta 90.00
_cell_angle_gamma 90.00
loop_
_space_group_symop_operation_xyz
'x,y,z'
loop_
_atom_site_label
_atom_site_fract_x
_atom_site_fract_y
_atom_site_fract_z
Y1 0.500 0.500 0.500
C1 0.000 0.000 0.000
Se1 0.000 0.000 0.500
Br1 0.000 0.500 0.000
Br2 0.500 0.000 0.000